Record 1
First-principles (PBE) data for a relaxed structure of Ho2ErNi2, as listed in Alexandria.

As for the polymorph energy (0 for the lowest one): 9.0 kJ/mol of atoms. The value obtained for the calculated density is 9.0 g/cm3.

abc: 11.170 3.801 5.551
angles: 90.00 106.18 90.00
Element x y z (fractional)
Ho (0.153, 0.000, 0.106)
Ho (0.347, 0.500, 0.894)
Ho (0.653, 0.500, 0.106)
Ho (0.847, 0.000, 0.894)
Er (0.000, 0.500, 0.500)
Er (0.500, 0.000, 0.500)
Ni (0.200, 0.000, 0.622)
Ni (0.300, 0.500, 0.378)
Ni (0.700, 0.500, 0.622)
Ni (0.800, 0.000, 0.378)

***

Record 2
First-principles (PBE) data for a relaxed structure of Ho3Er3Ni4, as listed in Alexandria.

The value obtained for the calculated density is 9.5 g/cm3.

abc: 3.868 7.443 7.443
angles: 89.97 90.00 90.00
Element x y z (fractional)
Ho (0.000, 0.000, 0.000)
Ho (0.500, 0.336, 0.836)
Ho (0.500, 0.836, 0.336)
Er (0.000, 0.171, 0.500)
Er (0.000, 0.500, 0.171)
Er (0.000, 0.670, 0.670)
Ni (0.500, 0.212, 0.212)
Ni (0.500, 0.460, 0.460)
Ni (0.500, 0.710, 0.960)
Ni (0.500, 0.960, 0.710)

***

Record 3
First-principles (PBE) data for a relaxed structure of HoErNi, as listed in Alexandria.

As for the polymorph energy (0 for the lowest one): 0.0 kJ/mol of atoms. The value obtained for the calculated density is 9.2 g/cm3.

abc: 3.376 3.376 12.330
angles: 90.00 90.00 90.00
Element x y z (fractional)
Ho (0.000, 0.000, 0.000)
Ho (0.500, 0.500, 0.500)
Er (0.000, 0.000, 0.737)
Er (0.500, 0.500, 0.237)
Ni (0.000, 0.000, 0.367)
Ni (0.500, 0.500, 0.867)

***

Record 4
First-principles (PBE) data for a relaxed structure of Ho3ErNi3, as listed in Alexandria.

The value obtained for the calculated density is 9.2 g/cm3.

abc: 6.688 6.688 6.779
angles: 91.07 91.07 96.60
Element x y z (fractional)
Ho (0.176, 0.824, 0.000)
Ho (0.249, 0.751, 0.500)
Ho (0.337, 0.337, 0.128)
Ho (0.663, 0.663, 0.872)
Ho (0.751, 0.249, 0.500)
Ho (0.824, 0.176, 0.000)
Er (0.256, 0.256, 0.623)
Er (0.744, 0.744, 0.377)
Ni (0.016, 0.503, 0.790)
Ni (0.059, 0.059, 0.314)
Ni (0.497, 0.984, 0.210)
Ni (0.503, 0.016, 0.790)
Ni (0.941, 0.941, 0.686)
Ni (0.984, 0.497, 0.210)

***

Record 5
First-principles (PBE) data for a relaxed structure of HoErNiPd, as listed in Alexandria.

As for the polymorph energy (0 for the lowest one): 0.0 kJ/mol of atoms. The value obtained for the calculated density is 9.9 g/cm3.

abc: 4.338 3.739 10.320
angles: 90.00 90.00 90.00
Element x y z (fractional)
Ho (0.000, 0.000, 0.000)
Ho (0.000, 0.500, 0.500)
Er (0.500, 0.000, 0.279)
Er (0.500, 0.500, 0.779)
Ni (0.500, 0.000, 0.557)
Ni (0.500, 0.500, 0.057)
Pd (0.000, 0.000, 0.718)
Pd (0.000, 0.500, 0.218)

***

Record 6
First-principles (PBE) data for a relaxed structure of HoErNiPd, as listed in Alexandria.

As for the polymorph energy (0 for the lowest one): 3.7 kJ/mol of atoms. The value obtained for the calculated density is 10.2 g/cm3.

abc: 6.863 6.863 6.863
angles: 90.00 90.00 90.00
Element x y z (fractional)
Ho (0.000, 0.000, 0.000)
Ho (0.000, 0.500, 0.500)
Ho (0.500, 0.000, 0.500)
Ho (0.500, 0.500, 0.000)
Er (0.000, 0.000, 0.500)
Er (0.000, 0.500, 0.000)
Er (0.500, 0.000, 0.000)
Er (0.500, 0.500, 0.500)
Ni (0.250, 0.250, 0.250)
Ni (0.250, 0.750, 0.750)
Ni (0.750, 0.250, 0.750)
Ni (0.750, 0.750, 0.250)
Pd (0.250, 0.250, 0.750)
Pd (0.250, 0.750, 0.250)
Pd (0.750, 0.250, 0.250)
Pd (0.750, 0.750, 0.750)

***

Number 1: electronic total energy -53.05 eV/cell. Number 2: electronic total energy -54.06 eV/cell. Number 3: electronic total energy -31.45 eV/cell. Number 4: electronic total energy -75.69 eV/cell. Number 5: electronic total energy -45.76 eV/cell. Number 6: electronic total energy -90.90 eV/cell.